# 1
VASP calculation (PBE) on a geometry-optimized Ba6Ag2HgIr structure.

```
10
Lattice="-5.0811 6.5120 0.3966 -5.3094 1.4746 -6.1621 -8.7268 -1.6516 1.5706" Properties=species:S:1:pos:R:3 pbc="T T T"
Ba -6.2859 3.5687 -1.1266
Ba -8.4648 2.8117 -5.3345
Ba -12.6475 2.4465 -3.1158
Ba -10.9289 3.6038 0.9094
Ba -9.3692 -0.0520 -1.2580
Ba -9.7367 6.5593 -2.6053
Ir -12.1525 1.0420 -0.3788
Ag -9.5191 3.1967 -2.1197
Ag -10.6278 7.7899 -5.6043
Hg -12.8606 5.9672 -4.1318
```

Calculated values
N(E_F): 6.2 states/eV/f.u.
energy of formation: -0.22 eV/atom
total magnetic moment: 0.00 μB per formula unit

=====

# 2
VASP calculation (PBE) on a geometry-optimized Ta2FeAu structure.

```
4
Lattice="4.8768 -0.0321 -0.0318 -1.6067 4.6046 -0.0318 0.0190 0.0266 2.8908" Properties=species:S:1:pos:R:3 pbc="T T T"
Fe -0.7938 2.3156 1.4295
Au 2.4479 -0.0028 1.4295
Ta 1.6350 2.2863 -0.0318
Ta 0.0000 0.0000 0.0000
```

Calculated values
N(E_F): 4.3 states/eV/f.u.
energy of formation: 0.08 eV/atom
E above lowest polymorph: 0.43 eV per formula unit
total magnetic moment: 1.06 μB per formula unit

=====

# 3
VASP calculation (PBE) on a geometry-optimized HoAgTe2 structure.

```
4
Lattice="-0.1497 -2.7486 -3.8656 -1.4351 -4.5103 0.3498 -7.8042 -0.2030 -2.4654" Properties=species:S:1:pos:R:3 pbc="T T T"
Te -1.0027 -1.8481 -2.5614
Te -5.3357 -2.8922 -1.6457
Ho -6.0916 -2.8756 -4.5411
Ag -1.4941 -4.0650 -0.9661
```

Calculated values
E_tot: -4.128 eV/atom
total magnetic moment: 0.00 μB per formula unit